1.
Compound: PuMgAg2Se4
Source: the Alexandria database
Functional: PBE
Structure: optimized geometry

a b c (Å): 6.805 4.132 7.001
angles (deg): 90.00 110.50 90.00
Atoms (fractional coordinates):
Pu1 0.000 0.000 0.000
Mg1 0.000 0.500 0.500
Ag1 0.500 0.000 0.500
Ag2 0.500 0.500 0.000
Se1 0.238 0.000 0.738
Se2 0.245 0.500 0.253
Se3 0.755 0.500 0.747
Se4 0.762 0.000 0.262

Summary:
- DFT total energy: -41.55 eV per cell
- Space-group type: P2/m (10)
- Crystal system: monoclinic
- Calculated volume: 23.0 A^3/atom
- Total magnetization: 0.499 μB/atom
- Formation energy from raw total energies: -0.747 eV/atom

---

2.
Compound: UAlB
Source: the Alexandria database
Functional: PBE
Structure: optimized geometry

a b c (Å): 8.858 7.826 4.694
angles (deg): 86.24 61.83 31.92
Atoms (fractional coordinates):
U1 0.156 0.156 0.844
U2 0.844 0.844 0.156
Al1 0.361 0.639 0.361
Al2 0.639 0.361 0.639
B1 0.250 0.250 0.250
B2 0.750 0.750 0.750

Summary:
- E_form: 236 meV per atom
- DFT total energy: -42.00 eV per cell
- Space-group type: Fmmm (69)
- Crystal system: orthorhombic
- Calculated volume: 17.6 A^3/atom
- Total magnetization: 0.771 μB/atom

---

3.
Compound: CaDyIr
Source: the Alexandria database
Functional: PBE
Structure: optimized geometry

a b c (Å): 3.646 6.900 6.956
angles (deg): 76.15 89.98 89.73
Atoms (fractional coordinates):
Ca1 0.000 0.000 0.000
Ca2 0.496 0.943 0.507
Dy1 0.995 0.496 0.878
Dy2 0.996 0.423 0.396
Ir1 0.497 0.270 0.154
Ir2 0.497 0.273 0.710

Summary:
- E_form: -422 meV per atom
- DFT total energy: -33.46 eV per cell
- Space-group type: P1 (1)
- Crystal system: triclinic
- Calculated volume: 28.3 A^3/atom
- Relative energy among the computed polymorphs: 39.0 kJ/mol of formula units
- Total magnetization: 0.000 μB/atom

---

4.
Compound: LiTb2ZnRh2
Source: the Alexandria database
Functional: PBE
Structure: optimized geometry

a b c (Å): 8.328 8.328 8.328
angles (deg): 140.94 56.75 140.52
Atoms (fractional coordinates):
Li1 0.250 0.250 0.000
Li2 0.750 0.750 0.000
Tb1 0.171 0.748 0.919
Tb2 0.329 0.248 0.577
Tb3 0.671 0.752 0.423
Tb4 0.829 0.252 0.081
Zn1 0.250 0.750 0.500
Zn2 0.750 0.250 0.500
Rh1 0.126 0.252 0.378
Rh2 0.374 0.752 0.126
Rh3 0.626 0.248 0.874
Rh4 0.874 0.748 0.622

Summary:
- E_form: -633 meV per atom
- DFT total energy: -61.90 eV per cell
- Space-group type: Ibam (72)
- Crystal system: orthorhombic
- Calculated volume: 19.1 A^3/atom
- Total magnetization: 0.000 μB/atom

---

5.
Compound: MgCoAs2Se
Source: the Alexandria database
Functional: PBE
Structure: optimized geometry

a b c (Å): 4.424 4.424 5.406
angles (deg): 90.00 90.00 90.00
Atoms (fractional coordinates):
Mg1 0.000 0.000 0.000
Co1 0.500 0.500 0.500
As1 0.000 0.500 0.500
As2 0.500 0.000 0.500
Se1 0.500 0.500 0.000

Summary:
- DFT total energy: -20.91 eV per cell
- Space-group type: P4/mmm (123)
- Crystal system: tetragonal
- Calculated volume: 21.2 A^3/atom
- Relative energy among the computed polymorphs: 0.0 kJ/mol of formula units
- Total magnetization: 0.000 μB/atom
- Formation energy from raw total energies: 0.116 eV/atom

---

6.
Compound: K2UCoSe6
Source: the Alexandria database
Functional: PBE
Structure: optimized geometry

a b c (Å): 7.270 7.270 7.270
angles (deg): 120.08 119.91 90.01
Atoms (fractional coordinates):
K1 0.250 0.250 0.000
K2 0.750 0.750 0.000
U1 0.500 0.000 0.500
Co1 0.000 0.500 0.500
Se1 0.241 0.259 0.500
Se2 0.241 0.741 0.500
Se3 0.241 0.741 0.982
Se4 0.759 0.259 0.018
Se5 0.759 0.259 0.500
Se6 0.759 0.741 0.500

Summary:
- DFT total energy: -48.58 eV per cell
- Space-group type: Immm (71)
- Crystal system: orthorhombic
- Calculated volume: 27.2 A^3/atom
- Total magnetization: 0.346 μB/atom
- Formation energy from raw total energies: -0.709 eV/atom

---

7.
Compound: Tb2Ge4Pt3Au
Source: the Alexandria database
Functional: PBE
Structure: optimized geometry

a b c (Å): 4.335 4.335 10.226
angles (deg): 90.00 90.00 90.00
Atoms (fractional coordinates):
Tb1 0.000 0.500 0.248
Tb2 0.500 0.000 0.752
Ge1 0.000 0.000 0.500
Ge2 0.000 0.500 0.861
Ge3 0.500 0.000 0.139
Ge4 0.500 0.500 0.500
Pt1 0.000 0.000 0.000
Pt2 0.000 0.500 0.624
Pt3 0.500 0.000 0.376
Au1 0.500 0.500 0.000

Summary:
- E_form: -797 meV per atom
- DFT total energy: -57.10 eV per cell
- Space-group type: P-4m2 (115)
- Crystal system: tetragonal
- Calculated volume: 19.2 A^3/atom
- Total magnetization: 0.000 μB/atom

---

8.
Compound: NdDyHoGa
Source: the Alexandria database
Functional: PBE
Structure: optimized geometry

a b c (Å): 5.371 5.371 5.371
angles (deg): 60.00 60.00 60.00
Atoms (fractional coordinates):
Nd1 0.000 0.000 0.000
Dy1 0.500 0.500 0.500
Ho1 0.750 0.750 0.750
Ga1 0.250 0.250 0.250

Summary:
- E_form: -87 meV per atom
- DFT total energy: -17.32 eV per cell
- Space-group type: F-43m (216)
- Crystal system: cubic
- Calculated volume: 27.4 A^3/atom
- Total magnetization: 0.229 μB/atom

---

9.
Compound: ReBr
Source: the Alexandria database
Functional: PBE
Structure: optimized geometry

a b c (Å): 7.426 7.426 7.426
angles (deg): 109.47 109.47 109.47
Atoms (fractional coordinates):
Re1 0.000 0.000 0.203
Re2 0.000 0.203 0.000
Re3 0.203 0.000 0.000
Re4 0.797 0.797 0.797
Br1 0.000 0.000 0.540
Br2 0.000 0.540 0.000
Br3 0.460 0.460 0.460
Br4 0.540 0.000 0.000

Summary:
- DFT total energy: -48.06 eV per cell
- Space-group type: I-43m (217)
- Crystal system: cubic
- Calculated volume: 39.4 A^3/atom
- Relative energy among the computed polymorphs: 158.7 kJ/mol of formula units
- Total magnetization: 0.504 μB/atom
- Formation energy from raw total energies: 1.053 eV/atom

---

10.
Compound: ZrCoRe
Source: the Alexandria database
Functional: PBE
Structure: optimized geometry

a b c (Å): 4.491 4.491 2.745
angles (deg): 90.00 90.00 120.00
Atoms (fractional coordinates):
Zr1 0.000 0.000 0.000
Co1 0.333 0.667 0.359
Re1 0.667 0.333 0.624

Summary:
- E_form: 179 meV per atom
- DFT total energy: -27.56 eV per cell
- Space-group type: P3m1 (156)
- Crystal system: trigonal
- Calculated volume: 16.0 A^3/atom
- Relative energy among the computed polymorphs: 140.2 kJ/mol of formula units
- Total magnetization: 0.704 μB/atom

---

11.
Compound: Ho7Er12Tm
Source: the Alexandria database
Functional: PBE
Structure: optimized geometry

a b c (Å): 10.823 10.823 10.823
angles (deg): 115.97 115.97 115.97
Atoms (fractional coordinates):
Ho1 0.000 0.000 0.000
Ho2 0.128 0.432 0.294
Ho3 0.294 0.128 0.432
Ho4 0.432 0.294 0.128
Ho5 0.568 0.706 0.872
Ho6 0.706 0.872 0.568
Ho7 0.872 0.568 0.706
Er1 0.001 0.213 0.427
Er2 0.213 0.427 0.001
Er3 0.234 0.754 0.296
Er4 0.246 0.704 0.766
Er5 0.296 0.234 0.754
Er6 0.427 0.001 0.213
Er7 0.573 0.999 0.787
Er8 0.704 0.766 0.246
Er9 0.754 0.296 0.234
Er10 0.766 0.246 0.704
Er11 0.787 0.573 0.999
Er12 0.999 0.787 0.573
Tm1 0.500 0.500 0.500

Summary:
- E_form: 340 meV per atom
- DFT total energy: -84.46 eV per cell
- Space-group type: R-3 (148)
- Crystal system: trigonal
- Calculated volume: 32.1 A^3/atom
- Relative energy among the computed polymorphs: 62.7 kJ/mol of formula units
- Total magnetization: 0.000 μB/atom

---

12.
Compound: TbY8Sc3
Source: the Alexandria database
Functional: PBE
Structure: optimized geometry

a b c (Å): 8.304 8.304 8.304
angles (deg): 99.46 96.39 136.41
Atoms (fractional coordinates):
Tb1 0.000 0.000 0.000
Y1 0.014 0.352 0.339
Y2 0.014 0.675 0.661
Y3 0.422 0.005 0.089
Y4 0.422 0.333 0.417
Y5 0.509 0.344 0.836
Y6 0.509 0.673 0.164
Y7 0.916 0.005 0.583
Y8 0.916 0.333 0.911
Sc1 0.424 0.676 0.748
Sc2 0.501 0.001 0.500
Sc3 0.929 0.676 0.252

Summary:
- E_form: 22 meV per atom
- DFT total energy: -75.08 eV per cell
- Space-group type: Imm2 (44)
- Crystal system: orthorhombic
- Calculated volume: 30.5 A^3/atom
- Total magnetization: 0.000 μB/atom

---

13.
Compound: Pm2AsCl
Source: the Alexandria database
Functional: PBE
Structure: optimized geometry

a b c (Å): 5.049 5.049 3.702
angles (deg): 90.00 90.00 90.00
Atoms (fractional coordinates):
Pm1 0.000 0.500 0.000
Pm2 0.500 0.000 0.000
As1 0.000 0.000 0.500
Cl1 0.500 0.500 0.500

Summary:
- DFT total energy: -20.93 eV per cell
- Space-group type: P4/mmm (123)
- Crystal system: tetragonal
- Calculated volume: 23.6 A^3/atom
- Relative energy among the computed polymorphs: 110.5 kJ/mol of formula units
- Total magnetization: 0.000 μB/atom
- Formation energy from raw total energies: -1.233 eV/atom

---

14.
Compound: Sm4CoSeBr2
Source: the Alexandria database
Functional: PBE
Structure: optimized geometry

a b c (Å): 7.509 3.976 7.748
angles (deg): 90.00 107.22 90.00
Atoms (fractional coordinates):
Sm1 0.201 0.000 0.193
Sm2 0.241 0.500 0.796
Sm3 0.759 0.500 0.204
Sm4 0.799 0.000 0.807
Co1 0.000 0.500 0.000
Se1 0.500 0.000 0.000
Br1 0.000 0.000 0.500
Br2 0.500 0.500 0.500

Summary:
- DFT total energy: -41.65 eV per cell
- Space-group type: P2/m (10)
- Crystal system: monoclinic
- Calculated volume: 27.6 A^3/atom
- Total magnetization: 0.000 μB/atom
- Formation energy from raw total energies: -1.105 eV/atom